Entry 1:
Mg2AsBr: optimized geometry, PBEsol.

* density: 3.7 g/cm³
* uncorrected energy: -12.441 eV/cell
* E_form (uncorrected): -196 kJ/mol of formula units
* distance to the lowest polymorph of the same formula: 0.0000 eV/atom

The structure in CIF format:
```
data_Mg2AsBr
_chemical_formula_sum 'Mg2 As1 Br1'
_cell_length_a 3.644
_cell_length_b 3.644
_cell_length_c 7.429
_cell_angle_alpha 90.00
_cell_angle_beta 90.00
_cell_angle_gamma 111.32
_space_group_name_H-M_alt 'P 1'
_space_group_IT_number 1
loop_
_space_group_symop_operation_xyz
'x,y,z'
loop_
_atom_site_label
_atom_site_fract_x
_atom_site_fract_y
_atom_site_fract_z
_atom_site_occupancy
Mg1 0.000 0.000 0.212 1
Mg2 0.000 0.000 0.788 1
As1 0.500 0.500 0.000 1
Br1 0.500 0.500 0.500 1
```

---

Entry 2:
MgAsBr2: optimized geometry, PBEsol.

* density: 4.0 g/cm³
* uncorrected energy: -11.764 eV/cell
* E_form (uncorrected): -116 kJ/mol of formula units
* distance to the lowest polymorph of the same formula: 0.1778 eV/atom

The structure in CIF format:
```
data_MgAsBr2
_chemical_formula_sum 'Mg1 As1 Br2'
_cell_length_a 3.397
_cell_length_b 3.397
_cell_length_c 10.307
_cell_angle_alpha 90.00
_cell_angle_beta 90.00
_cell_angle_gamma 114.23
_space_group_name_H-M_alt 'P 1'
_space_group_IT_number 1
loop_
_space_group_symop_operation_xyz
'x,y,z'
loop_
_atom_site_label
_atom_site_fract_x
_atom_site_fract_y
_atom_site_fract_z
_atom_site_occupancy
Mg1 0.000 0.000 0.000 1
As1 0.000 0.000 0.500 1
Br1 0.500 0.500 0.169 1
Br2 0.500 0.500 0.831 1
```

---

Entry 3:
MgAs2Br: optimized geometry, PBEsol.

* density: 4.6 g/cm³
* uncorrected energy: -15.158 eV/cell
* E_form (uncorrected): -131 kJ/mol of formula units
* distance to the lowest polymorph of the same formula: 0.0991 eV/atom

The structure in CIF format:
```
data_MgAs2Br
_chemical_formula_sum 'Mg1 As2 Br1'
_cell_length_a 3.753
_cell_length_b 5.081
_cell_length_c 5.081
_cell_angle_alpha 90.00
_cell_angle_beta 107.69
_cell_angle_gamma 90.00
_space_group_name_H-M_alt 'P 1'
_space_group_IT_number 1
loop_
_space_group_symop_operation_xyz
'x,y,z'
loop_
_atom_site_label
_atom_site_fract_x
_atom_site_fract_y
_atom_site_fract_z
_atom_site_occupancy
Mg1 0.000 0.000 0.000 1
As1 0.186 0.500 0.831 1
As2 0.814 0.500 0.169 1
Br1 0.500 0.000 0.500 1
```

---

Entry 4:
MgMoAs2Br: optimized geometry, PBEsol.

* density: 4.7 g/cm³
* uncorrected energy: -24.452 eV/cell
* E_form (uncorrected): 108 kJ/mol of formula units

The structure in CIF format:
```
data_MgMoAs2Br
_chemical_formula_sum 'Mg1 Mo1 As2 Br1'
_cell_length_a 4.768
_cell_length_b 4.768
_cell_length_c 5.388
_cell_angle_alpha 90.00
_cell_angle_beta 90.00
_cell_angle_gamma 90.00
_space_group_name_H-M_alt 'P 1'
_space_group_IT_number 1
loop_
_space_group_symop_operation_xyz
'x,y,z'
loop_
_atom_site_label
_atom_site_fract_x
_atom_site_fract_y
_atom_site_fract_z
_atom_site_occupancy
Mg1 0.000 0.000 0.000 1
Mo1 0.500 0.500 0.500 1
As1 0.000 0.500 0.500 1
As2 0.500 0.000 0.500 1
Br1 0.500 0.500 0.000 1
```

---

Entry 5:
MgAs2BrN: optimized geometry, PBEsol.

* density: 5.1 g/cm³
* uncorrected energy: -20.510 eV/cell
* E_form (uncorrected): 175 kJ/mol of formula units

The structure in CIF format:
```
data_MgAs2BrN
_chemical_formula_sum 'Mg1 As2 Br1 N1'
_cell_length_a 4.529
_cell_length_b 4.529
_cell_length_c 4.257
_cell_angle_alpha 90.00
_cell_angle_beta 90.00
_cell_angle_gamma 90.00
_space_group_name_H-M_alt 'P 1'
_space_group_IT_number 1
loop_
_space_group_symop_operation_xyz
'x,y,z'
loop_
_atom_site_label
_atom_site_fract_x
_atom_site_fract_y
_atom_site_fract_z
_atom_site_occupancy
Mg1 0.000 0.000 0.000 1
As1 0.000 0.500 0.500 1
As2 0.500 0.000 0.500 1
Br1 0.500 0.500 0.000 1
N1 0.000 0.000 0.500 1
```

---

Entry 6:
MgNbAsBr2: optimized geometry, PBEsol.

* density: 4.7 g/cm³
* uncorrected energy: -19.047 eV/cell
* E_form (uncorrected): 226 kJ/mol of formula units
* distance to the lowest polymorph of the same formula: 0.5401 eV/atom

The structure in CIF format:
```
data_MgNbAsBr2
_chemical_formula_sum 'Mg1 Nb1 As1 Br2'
_cell_length_a 4.831
_cell_length_b 4.831
_cell_length_c 5.286
_cell_angle_alpha 90.00
_cell_angle_beta 90.00
_cell_angle_gamma 90.00
_space_group_name_H-M_alt 'P 1'
_space_group_IT_number 1
loop_
_space_group_symop_operation_xyz
'x,y,z'
loop_
_atom_site_label
_atom_site_fract_x
_atom_site_fract_y
_atom_site_fract_z
_atom_site_occupancy
Mg1 0.000 0.000 0.000 1
Nb1 0.500 0.500 0.500 1
As1 0.000 0.000 0.500 1
Br1 0.000 0.500 0.000 1
Br2 0.500 0.000 0.000 1
```

---

Entry 7:
MgNbAsBr2: optimized geometry, PBEsol.

* density: 4.4 g/cm³
* uncorrected energy: -21.748 eV/cell
* E_form (uncorrected): -35 kJ/mol of formula units
* distance to the lowest polymorph of the same formula: 0.0000 eV/atom

The structure in CIF format:
```
data_MgNbAsBr2
_chemical_formula_sum 'Mg1 Nb1 As1 Br2'
_cell_length_a 5.103
_cell_length_b 5.103
_cell_length_c 5.084
_cell_angle_alpha 90.00
_cell_angle_beta 90.00
_cell_angle_gamma 90.00
_space_group_name_H-M_alt 'P 1'
_space_group_IT_number 1
loop_
_space_group_symop_operation_xyz
'x,y,z'
loop_
_atom_site_label
_atom_site_fract_x
_atom_site_fract_y
_atom_site_fract_z
_atom_site_occupancy
Mg1 0.000 0.000 0.000 1
Nb1 0.500 0.500 0.500 1
As1 0.500 0.500 0.000 1
Br1 0.000 0.500 0.500 1
Br2 0.500 0.000 0.500 1
```

---

Entry 8:
MgNiAs2Br: optimized geometry, PBEsol.

* density: 4.6 g/cm³
* uncorrected energy: -19.167 eV/cell
* E_form (uncorrected): 76 kJ/mol of formula units
* distance to the lowest polymorph of the same formula: 0.0000 eV/atom

The structure in CIF format:
```
data_MgNiAs2Br
_chemical_formula_sum 'Mg1 Ni1 As2 Br1'
_cell_length_a 4.367
_cell_length_b 4.367
_cell_length_c 5.971
_cell_angle_alpha 90.00
_cell_angle_beta 90.00
_cell_angle_gamma 90.00
_space_group_name_H-M_alt 'P 1'
_space_group_IT_number 1
loop_
_space_group_symop_operation_xyz
'x,y,z'
loop_
_atom_site_label
_atom_site_fract_x
_atom_site_fract_y
_atom_site_fract_z
_atom_site_occupancy
Mg1 0.000 0.000 0.000 1
Ni1 0.500 0.500 0.500 1
As1 0.000 0.500 0.500 1
As2 0.500 0.000 0.500 1
Br1 0.500 0.500 0.000 1
```